(1)
# Pr3Ga3Cu8, optimized geometry, DFT PBE-GGA
data_Pr3Ga3Cu8
_cell_length_a 4.302
_cell_length_b 9.053
_cell_length_c 12.741
_cell_angle_alpha 90.00
_cell_angle_beta 90.00
_cell_angle_gamma 90.00
_space_group_name_H-M_alt 'I m m m'
_space_group_IT_number 71
_space_group_name_Hall '-I 2 2'
loop_
_atom_site_label
_atom_site_fract_x
_atom_site_fract_y
_atom_site_fract_z
Pr1 0.000 0.000 0.000
Pr2 0.000 0.000 0.300
Ga1 0.000 0.215 0.500
Ga2 0.000 0.500 0.000
Cu1 0.000 0.283 0.130
Cu2 0.000 0.356 0.332
# * total energy: -4.271 eV per atom


(2)
# PrGaCu5, optimized geometry, DFT PBE-GGA
data_PrGaCu5
_cell_length_a 8.187
_cell_length_b 5.122
_cell_length_c 10.312
_cell_angle_alpha 90.00
_cell_angle_beta 90.00
_cell_angle_gamma 90.00
_space_group_name_H-M_alt 'P n m a'
_space_group_IT_number 62
loop_
_space_group_symop_operation_xyz
'x,y,z'
'-x,-y,-z'
'-x+1/2,-y,z+1/2'
'x+1/2,y,-z+1/2'
'x+1/2,-y+1/2,-z+1/2'
'-x+1/2,y+1/2,z+1/2'
'-x,y+1/2,-z'
'x,-y+1/2,z'
loop_
_atom_site_label
_atom_site_fract_x
_atom_site_fract_y
_atom_site_fract_z
Pr1 0.239 0.250 0.059
Ga1 0.147 0.750 0.857
Cu1 0.066 0.004 0.307
Cu2 0.069 0.750 0.096
Cu3 0.091 0.250 0.515
Cu4 0.180 0.250 0.753
# * total energy: -4.262 eV per atom